Record 1
Entry from the Alexandria database: an optimized crystal structure of RbYMgV2 (GGA-PBE).

Cell lengths 4.993, 4.993, 5.286 Å; angles 90.00, 90.00, 90.00 degrees
Space group P4/mmm (No. 123)
Inequivalent atoms, fractional coordinates:
Rb  0.000  0.000  0.000 x1
Y  0.500  0.500  0.500 x1
Mg  0.000  0.000  0.500 x1
V  0.000  0.500  0.000 x2

## Properties
- Density: 3787 kg/m3
- Crystal system: tetragonal
- D(E_F): 7.0 states/eV/f.u.
- Magnetic moment: 5.21 μB per formula unit
- E_tot: -3.563 eV per atom
- Calculated formation energy: 9.45 eV/f.u.

***

Record 2
Entry from the Alexandria database: an optimized crystal structure of PmPr2YAs4 (GGA-PBE).

Cell lengths 7.350, 4.249, 7.353 Å; angles 90.00, 109.47, 90.00 degrees
Space group P2/m (No. 10)
Inequivalent atoms, fractional coordinates:
Pm  0.000  0.000  0.000 x1
Pr  0.500  0.000  0.500 x1
Pr  0.500  0.500  0.000 x1
Y  0.000  0.500  0.500 x1
As  0.242  0.000  0.744 x2
As  0.244  0.500  0.251 x2

## Properties
- Density: 6254 kg/m3
- Crystal system: monoclinic
- D(E_F): 0.7 states/eV/f.u.
- Magnetic moment: 0.00 μB per formula unit
- E_tot: -6.437 eV per atom
- Calculated formation energy: -12.12 eV/f.u.